[1]
## LiBe2CrRh (PBE)

Data for an optimized crystal structure of LiBe2CrRh.

Properties
- ΔE_f: 0.9574 eV per atom
- DOS at the Fermi energy: 5.05 states/eV/f.u.
- Calculated volume: 55 Å³/cell

Cell lengths 3.758, 3.758, 3.921 Å; angles 90.00, 90.00, 90.00 degrees
Space group P4/mmm (No. 123)
Asymmetric unit:
Li1 0.000 0.000 0.000 (multiplicity 1)
Be1 0.000 0.500 0.000 (multiplicity 2)
Cr1 0.000 0.000 0.500 (multiplicity 1)
Rh1 0.500 0.500 0.500 (multiplicity 1)



[2]
## TiTcRhO2 (PBE)

Data for an optimized crystal structure of TiTcRhO2.

Properties
- DOS at the Fermi energy: 3.44 states/eV/f.u.
- Energy relative to the elements, uncorrected: -0.357 eV/atom
- Calculated volume: 80 Å³/cell

Cell lengths 3.693, 3.693, 5.859 Å; angles 90.00, 90.00, 90.00 degrees
Space group P4/mmm (No. 123)
Asymmetric unit:
Ti1 0.000 0.000 0.000 (multiplicity 1)
Tc1 0.000 0.000 0.500 (multiplicity 1)
Rh1 0.500 0.500 0.000 (multiplicity 1)
O1 0.000 0.500 0.500 (multiplicity 2)



[3]
## HoSc2Sb (PBE)

Data for an optimized crystal structure of HoSc2Sb.

Properties
- ΔE to the lowest computed polymorph: 163 meV per atom
- DOS at the Fermi energy: 6.15 states/eV/f.u.
- Energy relative to the elements, uncorrected: -0.456 eV/atom
- Calculated volume: 96 Å³/cell

Cell lengths 4.602, 4.602, 4.532 Å; angles 90.00, 90.00, 90.00 degrees
Space group P4/mmm (No. 123)
Asymmetric unit:
Ho1 0.000 0.000 0.000 (multiplicity 1)
Sc1 0.000 0.500 0.500 (multiplicity 2)
Sb1 0.500 0.500 0.000 (multiplicity 1)



[4]
## TcTePb2 (PBE)

Data for an optimized crystal structure of TcTePb2.

Properties
- DOS at the Fermi energy: 3.16 states/eV/f.u.
- Energy relative to the elements, uncorrected: 0.795 eV/atom
- Calculated volume: 582 Å³/cell

Cell lengths 6.548, 6.548, 13.563 Å; angles 90.00, 90.00, 90.00 degrees
Space group I-42d (No. 122)
Asymmetric unit:
Tc1 0.000 0.000 0.000 (multiplicity 4)
Te1 0.000 0.000 0.500 (multiplicity 4)
Pb1 0.188 0.250 0.125 (multiplicity 8)



[5]
## Ba2Ga2Cl (PBE)

Data for an optimized crystal structure of Ba2Ga2Cl.

Properties
- DOS at the Fermi energy: 4.43 states/eV/f.u.
- Energy relative to the elements, uncorrected: -0.798 eV/atom
- Calculated volume: 381 Å³/cell

Cell lengths 8.889, 8.889, 4.825 Å; angles 90.00, 90.00, 90.00 degrees
Space group P4/mbm (No. 127)
Asymmetric unit:
Ba1 0.200 0.300 0.000 (multiplicity 4)
Ga1 0.094 0.594 0.500 (multiplicity 4)
Cl1 0.000 0.000 0.000 (multiplicity 2)



[6]
## NaAlTe2 (PBE)

Data for an optimized crystal structure of NaAlTe2.

Properties
- DOS at the Fermi energy: 0.00 states/eV/f.u.
- Energy relative to the elements, uncorrected: -0.559 eV/atom
- Calculated volume: 121 Å³/cell

Cell lengths 4.1329, 4.1329, 8.1634 Å; angles 90.00, 90.00, 120.00 degrees
Space group P3m1 (No. 156)
Asymmetric unit:
Na1 0.0000 0.0000 0.0000 (multiplicity 1)
Al1 0.6667 0.3333 0.5528 (multiplicity 1)
Te1 0.0000 0.0000 0.3736 (multiplicity 1)
Te2 0.3333 0.6667 0.7514 (multiplicity 1)



[7]
## AcY5Ho6 (PBE)

Data for an optimized crystal structure of AcY5Ho6.

Properties
- ΔE_f: 0.0356 eV per atom
- DOS at the Fermi energy: 16.68 states/eV/f.u.
- Calculated volume: 780 Å³/cell

Cell lengths 6.205, 10.743, 11.878 Å; angles 90.00, 100.01, 90.00 degrees
Space group C2/m (No. 12)
Asymmetric unit:
Ac1 0.000 0.000 0.000 (multiplicity 2)
Y1 0.000 0.167 0.500 (multiplicity 4)
Y2 0.000 0.333 0.000 (multiplicity 4)
Y3 0.000 0.500 0.500 (multiplicity 2)
Ho1 0.248 0.332 0.746 (multiplicity 8)
Ho2 0.249 0.500 0.254 (multiplicity 4)



[8]
## MnNiPdPt (PBE)

Data for an optimized crystal structure of MnNiPdPt.

Properties
- ΔE_f: -0.1545 eV per atom
- DOS at the Fermi energy: 4.33 states/eV/f.u.
- Calculated volume: 225 Å³/cell

Cell lengths 6.086, 6.086, 6.086 Å; angles 90.00, 90.00, 90.00 degrees
Space group F-43m (No. 216)
Asymmetric unit:
Mn1 0.000 0.000 0.000 (multiplicity 4)
Ni1 0.000 0.000 0.500 (multiplicity 4)
Pd1 0.250 0.250 0.750 (multiplicity 4)
Pt1 0.250 0.250 0.250 (multiplicity 4)



[9]
## CaNp2Pt9 (PBE)

Data for an optimized crystal structure of CaNp2Pt9.

Properties
- ΔE_f: -0.6119 eV per atom
- DOS at the Fermi energy: 23.97 states/eV/f.u.
- Calculated volume: 675 Å³/cell

Cell lengths 5.4102, 5.4102, 26.6290 Å; angles 90.00, 90.00, 120.00 degrees
Space group R-3m (No. 166, hexagonal axes)
Asymmetric unit:
Ca1 0.0000 0.0000 0.0000 (multiplicity 3)
Np1 0.0000 0.0000 0.1420 (multiplicity 6)
Pt1 0.0000 0.0000 0.3325 (multiplicity 6)
Pt2 0.0000 0.0000 0.5000 (multiplicity 3)
Pt3 0.0041 0.5021 0.9148 (multiplicity 18)



[10]
## Ba2GaAg2 (PBE)

Data for an optimized crystal structure of Ba2GaAg2.

Properties
- ΔE_f: -0.2847 eV per atom
- ΔE to the lowest computed polymorph: 0 meV per atom
- DOS at the Fermi energy: 3.86 states/eV/f.u.
- Calculated volume: 660 Å³/cell

Cell lengths 12.393, 4.761, 12.543 Å; angles 90.00, 116.95, 90.00 degrees
Space group C2/m (No. 12)
Asymmetric unit:
Ba1 0.094 0.000 0.392 (multiplicity 4)
Ba2 0.199 0.500 0.141 (multiplicity 4)
Ga1 0.072 0.500 0.825 (multiplicity 4)
Ag1 0.045 0.000 0.912 (multiplicity 4)
Ag2 0.111 0.500 0.621 (multiplicity 4)



[11]
## PmCo3As3 (PBE)

Data for an optimized crystal structure of PmCo3As3.

Properties
- ΔE_f: -0.4712 eV per atom
- DOS at the Fermi energy: 6.83 states/eV/f.u.
- Calculated volume: 772 Å³/cell

Cell lengths 6.6617, 6.6617, 20.0826 Å; angles 90.00, 90.00, 120.00 degrees
Space group R-3 (No. 148, hexagonal axes)
Asymmetric unit:
Pm1 0.0000 0.0000 0.1670 (multiplicity 6)
Co1 0.0028 0.6511 0.3751 (multiplicity 18)
As1 0.0025 0.6933 0.5936 (multiplicity 18)



[12]
## Pm2Y4Er (PBE)

Data for an optimized crystal structure of Pm2Y4Er.

Properties
- ΔE_f: 0.1795 eV per atom
- ΔE to the lowest computed polymorph: 136 meV per atom
- DOS at the Fermi energy: 9.03 states/eV/f.u.
- Calculated volume: 925 Å³/cell

Cell lengths 16.555, 6.744, 11.625 Å; angles 90.00, 134.58, 90.00 degrees
Space group C2 (No. 5)
Asymmetric unit:
Pm1 0.000 0.000 0.000 (multiplicity 2)
Pm2 0.000 0.002 0.500 (multiplicity 2)
Pm3 0.221 0.112 0.471 (multiplicity 4)
Y1 0.000 0.328 0.249 (multiplicity 4)
Y2 0.002 0.774 0.753 (multiplicity 4)
Y3 0.158 0.484 0.659 (multiplicity 4)
Y4 0.158 0.485 0.157 (multiplicity 4)
Er1 0.224 0.111 0.974 (multiplicity 4)



[13]
## Ca2TaCl (PBE)

Data for an optimized crystal structure of Ca2TaCl.

Properties
- ΔE to the lowest computed polymorph: 388 meV per atom
- DOS at the Fermi energy: 4.39 states/eV/f.u.
- Energy relative to the elements, uncorrected: 0.058 eV/atom
- Calculated volume: 197 Å³/cell

Cell lengths 3.168, 5.572, 11.182 Å; angles 90.00, 90.00, 90.00 degrees
Space group Imm2 (No. 44)
Asymmetric unit:
Ca1 0.000 0.000 0.000 (multiplicity 2)
Ca2 0.000 0.500 0.192 (multiplicity 2)
Ta1 0.000 0.000 0.424 (multiplicity 2)
Cl1 0.000 0.500 0.731 (multiplicity 2)



[14]
## NaPmAlO4 (PBE)

Data for an optimized crystal structure of NaPmAlO4.

Properties
- DOS at the Fermi energy: 2.40 states/eV/f.u.
- Energy relative to the elements, uncorrected: -2.547 eV/atom
- Calculated volume: 334 Å³/cell

Cell lengths 5.246, 11.922, 5.333 Å; angles 90.00, 90.00, 90.00 degrees
Space group Cmcm (No. 63)
Asymmetric unit:
Na1 0.000 0.100 0.250 (multiplicity 4)
Pm1 0.000 0.389 0.250 (multiplicity 4)
Al1 0.000 0.255 0.750 (multiplicity 4)
O1 0.000 0.095 0.750 (multiplicity 4)
O2 0.000 0.418 0.750 (multiplicity 4)
O3 0.250 0.250 0.000 (multiplicity 8)



[15]
## Rb3In2I2Cl3 (PBE)

Data for an optimized crystal structure of Rb3In2I2Cl3.

Properties
- DOS at the Fermi energy: 0.00 states/eV/f.u.
- Energy relative to the elements, uncorrected: -1.181 eV/atom
- Calculated volume: 1000 Å³/cell

Cell lengths 5.316, 5.316, 35.399 Å; angles 90.00, 90.00, 90.00 degrees
Space group I4/mmm (No. 139)
Asymmetric unit:
Rb1 0.000 0.000 0.000 (multiplicity 2)
Rb2 0.000 0.000 0.410 (multiplicity 4)
In1 0.000 0.000 0.197 (multiplicity 4)
I1 0.000 0.500 0.250 (multiplicity 4)
Cl1 0.000 0.000 0.091 (multiplicity 4)
Cl2 0.000 0.000 0.500 (multiplicity 2)



[16]
## YGa2Hg2 (PBE)

Data for an optimized crystal structure of YGa2Hg2.

Properties
- ΔE_f: -0.2585 eV per atom
- ΔE to the lowest computed polymorph: 0 meV per atom
- DOS at the Fermi energy: 1.20 states/eV/f.u.
- Calculated volume: 220 Å³/cell

Cell lengths 4.411, 4.411, 11.294 Å; angles 90.00, 90.00, 90.00 degrees
Space group I4/mmm (No. 139)
Asymmetric unit:
Y1 0.000 0.000 0.000 (multiplicity 2)
Ga1 0.000 0.000 0.394 (multiplicity 4)
Hg1 0.000 0.500 0.250 (multiplicity 4)



[17]
## ZnFeOs2 (PBE)

Data for an optimized crystal structure of ZnFeOs2.

Properties
- ΔE_f: 0.2463 eV per atom
- DOS at the Fermi energy: 3.49 states/eV/f.u.
- Calculated volume: 107 Å³/cell

Cell lengths 2.975, 4.228, 8.507 Å; angles 90.00, 90.00, 90.00 degrees
Space group Imm2 (No. 44)
Asymmetric unit:
Zn1 0.000 0.000 0.000 (multiplicity 2)
Fe1 0.000 0.500 0.736 (multiplicity 2)
Os1 0.000 0.000 0.484 (multiplicity 2)
Os2 0.000 0.500 0.243 (multiplicity 2)



[18]
## VSiAu (PBE)

Data for an optimized crystal structure of VSiAu.

Properties
- DOS at the Fermi energy: 2.34 states/eV/f.u.
- Energy relative to the elements, uncorrected: -0.114 eV/atom
- Calculated volume: 184 Å³/cell

Cell lengths 5.241, 5.584, 6.340 Å; angles 90.00, 96.76, 90.00 degrees
Space group C2/m (No. 12)
Asymmetric unit:
V1 0.000 0.248 0.000 (multiplicity 4)
Si1 0.213 0.000 0.725 (multiplicity 4)
Au1 0.211 0.500 0.666 (multiplicity 4)



[19]
## Y3CoPd (PBE)

Data for an optimized crystal structure of Y3CoPd.

Properties
- ΔE_f: -0.4107 eV per atom
- ΔE to the lowest computed polymorph: 30 meV per atom
- DOS at the Fermi energy: 4.48 states/eV/f.u.
- Calculated volume: 468 Å³/cell

Cell lengths 10.081, 6.183, 8.292 Å; angles 90.00, 115.11, 90.00 degrees
Space group C2/m (No. 12)
Asymmetric unit:
Y1 0.012 0.000 0.222 (multiplicity 4)
Y2 0.185 0.500 0.852 (multiplicity 4)
Y3 0.203 0.500 0.340 (multiplicity 4)
Co1 0.000 0.316 0.000 (multiplicity 4)
Pd1 0.000 0.274 0.500 (multiplicity 4)



[20]
## Rb2CoBBr6 (PBE)

Data for an optimized crystal structure of Rb2CoBBr6.

Properties
- DOS at the Fermi energy: 13.67 states/eV/f.u.
- Energy relative to the elements, uncorrected: -0.544 eV/atom
- Calculated volume: 584 Å³/cell

Cell lengths 7.134, 7.134, 11.475 Å; angles 90.00, 90.00, 90.00 degrees
Space group I4/mmm (No. 139)
Asymmetric unit:
Rb1 0.000 0.500 0.250 (multiplicity 4)
Co1 0.000 0.000 0.000 (multiplicity 2)
B1 0.000 0.000 0.500 (multiplicity 2)
Br1 0.000 0.000 0.209 (multiplicity 4)
Br2 0.225 0.225 0.500 (multiplicity 8)